Fe5PdRh4: relaxed, PBE-GGA.

Unit cell a=2.7170 b=2.7170 c=18.1157 alpha=90.00 beta=90.00 gamma=90.00
Element x y z (fractional)
Fe 0.5000 0.5000 0.5000
Pd 0.0000 0.0000 0.0000
Fe 0.5000 0.5000 0.3019
Rh 0.0000 0.0000 0.2036
Fe 0.5000 0.5000 0.8963
Rh 0.0000 0.0000 0.5989
Fe 0.5000 0.5000 0.1037
Rh 0.0000 0.0000 0.7964
Fe 0.5000 0.5000 0.6981
Rh 0.0000 0.0000 0.4011

Values from the calculation:
space group	No. 123
E	-7.71	eV/atom
density of states at the Fermi level	15.4	states/eV/cell
energy of formation	-0.01	eV/atom

KHgBiPb: relaxed, PBE-GGA.

Unit cell a=5.7088 b=5.7088 c=5.7088 alpha=60.00 beta=60.00 gamma=60.00
Element x y z (fractional)
Pb 0.2500 0.2500 0.2500
Hg 0.0000 0.0000 0.0000
Bi 0.5000 0.5000 0.5000
K 0.7500 0.7500 0.7500

Values from the calculation:
space group	No. 216
E	-2.44	eV/atom
density of states at the Fermi level	0.0	states/eV/cell
energy of formation	-0.19	eV/atom

Tl2FeRh: relaxed, PBE-GGA.

Unit cell a=4.6168 b=4.6168 c=4.6168 alpha=60.00 beta=60.00 gamma=60.00
Element x y z (fractional)
Tl 0.7500 0.7500 0.7500
Tl 0.2500 0.2500 0.2500
Rh 0.5000 0.5000 0.5000
Fe 0.0000 0.0000 0.0000

Values from the calculation:
space group	No. 225
E	-4.61	eV/atom
density of states at the Fermi level	3.5	states/eV/cell
energy of formation	0.53	eV/atom

MnRuRh: relaxed, PBE-GGA.

Unit cell a=6.9179 b=6.6854 c=2.6782 alpha=83.57 beta=73.80 gamma=22.63
Element x y z (fractional)
Rh 0.3397 0.3397 0.6603
Ru 0.6591 0.6591 0.3409
Mn 0.0013 0.0013 0.9987

Values from the calculation:
space group	No. 42
E	-8.39	eV/atom
density of states at the Fermi level	2.9	states/eV/cell
energy of formation	0.21	eV/atom